The following is a PBE calculation of crystalline La2OsAu at its relaxed geometry, from the Alexandria database.

Cell lengths 5.0059, 5.0059, 5.0059 Å; angles 60.00, 60.00, 60.00 degrees
Closest atoms and distances in Å follow each position.
Atoms (fractional coordinates):
1 Au 0.5000 0.5000 0.5000  4 Os 3.07, 4 La 3.07
2 Os 0.7500 0.7500 0.7500  4 Au 3.07, 4 La 3.07
3 La 0.0000 0.0000 0.0000  4 La 3.07, 4 Os 3.07
4 La 0.2500 0.2500 0.2500  4 La 3.07, 4 Au 3.07

* final energy: -6.12 eV per atom
* ρ: 12.4 g/cm3
* symmetry: F-43m
* energy relative to the elements: -0.03 eV per atom